1.
Ni2GeRh2: optimized geometry, GGA-PBE.

Unit cell a=5.987 b=5.987 c=3.786 alpha=90.00 beta=90.00 gamma=90.00
Space group P4/mbm (No. 127)
Unique sites:
Ni1 0.136 0.364 0.000 x4
Ge1 0.000 0.000 0.000 x2
Rh1 0.161 0.661 0.500 x4

## Properties
formation enthalpy at 0 K: 0.0422 eV per atom
E_tot: -6.134 eV per atom

=====

2.
LiHg3Pd6: optimized geometry, GGA-PBE.

Unit cell a=7.680 b=4.671 c=9.925 alpha=90.00 beta=109.45 gamma=90.00
Space group P2_1/m (No. 11)
Unique sites:
Li1 0.048 0.250 0.413 x2
Hg1 0.227 0.250 0.009 x2
Hg2 0.351 0.750 0.780 x2
Hg3 0.450 0.250 0.611 x2
Pd1 0.053 0.750 0.872 x2
Pd2 0.133 0.250 0.701 x2
Pd3 0.156 0.750 0.187 x2
Pd4 0.239 0.750 0.482 x2
Pd5 0.331 0.250 0.314 x2
Pd6 0.457 0.750 0.083 x2

## Properties
formation enthalpy at 0 K: -0.2054 eV per atom
E_tot: -3.603 eV per atom
polymorph energy (0 for the lowest one): 0 meV/atom

=====

3.
ZrCr2Br: optimized geometry, GGA-PBE.

Unit cell a=3.212 b=4.831 c=9.520 alpha=90.00 beta=90.00 gamma=90.00
Space group Imm2 (No. 44)
Unique sites:
Zr1 0.000 0.000 0.000 x2
Cr1 0.000 0.000 0.479 x2
Cr2 0.000 0.500 0.240 x2
Br1 0.000 0.500 0.751 x2

## Properties
raw formation energy: 0.629 eV per atom
E_tot: -6.738 eV per atom
polymorph energy (0 for the lowest one): 559 meV/atom

=====

4.
TlCdOs2: optimized geometry, GGA-PBE.

Unit cell a=2.9554 b=2.9554 c=27.8313 alpha=90.00 beta=90.00 gamma=120.00
Space group R-3m (No. 166, hexagonal axes)
Unique sites:
Tl1 0.0000 0.0000 0.0000 x3
Cd1 0.0000 0.0000 0.5000 x3
Os1 0.0000 0.0000 0.2502 x6

## Properties
formation enthalpy at 0 K: 0.9815 eV per atom
E_tot: -5.454 eV per atom